An optimized crystal structure of TbCoAsO, computed with PBE with a Hubbard U.

The value obtained for the total energy is -6.166 eV/atom. As for the calculated volume: 122.73 Å³/cell. The calculation puts the total moment at 3.73 μB per cell.

a = 4.255 Å, b = 4.126 Å, c = 6.991 Å
α = 90.00°, β = 90.00°, γ = 90.00°
Space group Pmc2_1 (No. 26)
One atom of each set of equivalent atoms:
Tb1 0.000 0.248 0.000 x2
Co1 0.500 0.269 0.327 x2
As1 0.500 0.237 0.666 x2
O1 0.000 0.253 0.335 x2